DFT (PBE-GGA) results for crystalline Ho4SbTe2P at its relaxed geometry.

Cell: 4.2213 7.4656 7.3812 Å, 71.00 90.00 90.00°
Closest atoms and distances in Å follow each position.
Fractional coordinates of all 8 atoms:
Ho 0.5000 0.2840 0.7218  2 P 2.83, 1 Sb 3.00, 1 Te 3.07
Ho 0.0000 0.7258 0.7378  1 P 2.80, 2 Sb 2.99, 2 Te 3.06
Te 0.0000 0.0000 0.0000  6 Ho 3.21-3.24
Sb 0.5000 0.5000 0.0000  6 Ho 2.99-3.00
P 0.0000 0.5000 0.5000  6 Ho 2.80-2.83
Ho 0.0000 0.2742 0.2622  1 P 2.80, 2 Sb 2.99, 2 Te 3.06
Te 0.5000 0.0000 0.5000  6 Ho 3.06-3.07
Ho 0.5000 0.7160 0.2782  2 P 2.83, 1 Sb 3.00, 1 Te 3.07

Computed properties:
SG: No. 10
Raw formation energy in eV per atom: -1.361
Crystal system: monoclinic

DFT (PBE-GGA) results for crystalline Er8SiGe5 at its relaxed geometry.

Cell: 7.5724 7.5724 7.5724 Å, 109.46 109.49 109.46°
Closest atoms and distances in Å follow each position.
Fractional coordinates of all 14 atoms:
Ge 0.3755 0.1252 0.0006  8 Er 2.87-3.20
Er 0.4914 0.6172 0.2409  5 Ge 2.87-3.19, 1 Si 3.18
Er 0.6236 0.3828 0.8742  5 Ge 2.87-3.19, 1 Si 3.18
Er 0.2570 0.2509 0.3761  1 Si 2.86, 4 Ge 2.87-3.20
Er 0.1253 0.7491 0.0061  1 Si 2.86, 4 Ge 2.87-3.20
Ge 0.8754 0.8748 0.2503  8 Er 2.87-3.20
Er 0.6239 0.8808 0.8747  1 Si 2.86, 4 Ge 2.87-3.20
Er 0.1258 0.7494 0.5086  5 Ge 2.87-3.19, 1 Si 3.18
Er 0.7591 0.2506 0.3764  5 Ge 2.87-3.19, 1 Si 3.18
Si 0.2500 0.5000 0.7500  8 Er 2.86-3.18
Ge 0.7497 0.6251 0.6245  8 Er 2.87-3.20
Ge 0.9994 0.3749 0.1246  8 Er 2.87-3.20
Er 0.9939 0.1192 0.7430  1 Si 2.86, 4 Ge 2.87-3.20
Ge 0.5000 0.0000 0.5000  8 Er 2.87-3.20

Computed properties:
SG: No. 82
Raw formation energy in eV per atom: -0.833
Crystal system: tetragonal

DFT (PBE-GGA) results for crystalline FeTcSe2N at its relaxed geometry.

Cell: 4.8442 4.8442 3.3616 Å, 90.00 90.00 90.00°
Closest atoms and distances in Å follow each position.
Fractional coordinates of all 5 atoms:
Se 0.0000 0.5000 0.0000  2 Fe 2.42
Se 0.5000 0.0000 0.0000  2 Fe 2.42
Tc 0.5000 0.5000 0.5000  8 Se 2.95
Fe 0.0000 0.0000 0.0000  2 N 1.68
N 0.0000 0.0000 0.5000  2 Fe 1.68

Computed properties:
SG: No. 123
Raw formation energy in eV per atom: 0.609
Excess energy over the best structure of this formula in the dataset in meV per atom: 14
Crystal system: tetragonal

DFT (PBE-GGA) results for crystalline CeGaPb2 at its relaxed geometry.

Cell: 4.7942 4.7018 4.7018 Å, 90.00 90.00 90.00°
Closest atoms and distances in Å follow each position.
Fractional coordinates of all 4 atoms:
Pb 0.0000 0.0000 0.5000  4 Pb 3.32, 4 Ce 3.36, 4 Ga 3.36
Ga 0.5000 0.0000 0.0000  4 Ce 3.32, 8 Pb 3.36
Pb 0.0000 0.5000 0.0000  4 Pb 3.32, 4 Ce 3.36, 4 Ga 3.36
Ce 0.5000 0.5000 0.5000  4 Ga 3.32, 8 Pb 3.36

Computed properties:
SG: No. 123
Excess energy over the best structure of this formula in the dataset in meV per atom: 0
E_form in eV/atom: -0.3654
Crystal system: tetragonal

DFT (PBE-GGA) results for crystalline Li2CuTe at its relaxed geometry.

Cell: 4.0440 4.0440 4.0898 Å, 90.00 90.00 89.95°
Closest atoms and distances in Å follow each position.
Fractional coordinates of all 4 atoms:
Li 0.5000 0.5000 0.0000  4 Li 2.86, 4 Cu 2.88, 4 Te 2.88
Li 0.0000 0.0000 0.0000  4 Li 2.86, 4 Te 2.88, 4 Cu 2.88
Te 0.5000 0.0000 0.5000  4 Cu 2.86, 8 Li 2.88
Cu 0.0000 0.5000 0.5000  4 Te 2.86, 8 Li 2.88

Computed properties:
SG: No. 123
Raw formation energy in eV per atom: -0.424
Crystal system: tetragonal

DFT (PBE-GGA) results for crystalline MgGa2Hg6 at its relaxed geometry.

Cell: 3.7201 7.3593 8.9006 Å, 65.81 90.00 104.64°
Closest atoms and distances in Å follow each position.
Fractional coordinates of all 9 atoms:
Ga 0.3476 0.6952 0.8004  6 Hg 2.91-2.96, 2 Mg 3.23
Hg 0.9996 0.9991 0.1683  1 Mg 2.96, 2 Ga 2.96, 5 Hg 2.99-3.30
Hg 0.6584 0.3168 0.5220  1 Ga 2.91, 2 Mg 2.99, 3 Hg 3.09-3.10
Mg 0.0000 0.0000 0.5000  6 Hg 2.96-2.99, 4 Ga 3.23
Ga 0.6524 0.3048 0.1996  6 Hg 2.91-2.96, 2 Mg 3.23
Hg 0.6784 0.3568 0.8558  3 Ga 2.92, 3 Hg 3.10-3.22
Hg 0.3416 0.6832 0.4780  1 Ga 2.91, 2 Mg 2.99, 3 Hg 3.09-3.10
Hg 0.3216 0.6432 0.1442  3 Ga 2.92, 3 Hg 3.10-3.22
Hg 0.0004 0.0009 0.8317  1 Mg 2.96, 2 Ga 2.96, 5 Hg 2.99-3.30

Computed properties:
SG: No. 12
E_form in eV/atom: 0.0039
Crystal system: monoclinic

DFT (PBE-GGA) results for crystalline CsRbSr2Rh at its relaxed geometry.

Cell: 5.9827 5.9827 7.1681 Å, 90.00 90.00 90.00°
Closest atoms and distances in Å follow each position.
Fractional coordinates of all 5 atoms:
Rb 0.5000 0.5000 0.5000  4 Cs 4.23, 8 Sr 4.67
Sr 0.0000 0.5000 0.0000  2 Rh 2.99
Rh 0.0000 0.0000 0.0000  4 Sr 2.99
Sr 0.5000 0.0000 0.0000  2 Rh 2.99
Cs 0.0000 0.0000 0.5000  2 Rh 3.58

Computed properties:
SG: No. 123
E_form in eV/atom: 0.1087
Crystal system: tetragonal

DFT (PBE-GGA) results for crystalline SrAgSb4 at its relaxed geometry.

Cell: 6.3125 6.3125 6.3125 Å, 60.00 60.00 60.00°
Closest atoms and distances in Å follow each position.
Fractional coordinates of all 6 atoms:
Ag 0.0000 0.0000 0.0000  12 Sb 3.70, 4 Sr 3.87
Sr 0.7500 0.7500 0.7500  12 Sb 3.70, 4 Ag 3.87
Sb 0.3739 0.8784 0.3739  6 Sb 3.13-3.18
Sb 0.3739 0.3739 0.3739  6 Sb 3.13-3.18
Sb 0.3739 0.3739 0.8784  6 Sb 3.13-3.18
Sb 0.8784 0.3739 0.3739  6 Sb 3.13-3.18

Computed properties:
SG: No. 216
Raw formation energy in eV per atom: -0.095
Crystal system: cubic

DFT (PBE-GGA) results for crystalline K3Cu2P4HO14 at its relaxed geometry.

Cell: 5.3050 5.6533 13.0239 Å, 90.98 100.11 116.41°
Closest atoms and distances in Å follow each position.
Fractional coordinates of all 24 atoms:
O 0.2524 0.8372 0.6677  1 P 1.53
O 0.2925 0.2015 0.8755  1 P 1.51
O 0.3489 0.4411 0.7115  2 P 1.63-1.64
O 0.3679 0.6012 0.5323  1 H 1.20
O 0.7211 0.3504 0.1281  1 P 1.55
O 0.2490 0.3733 0.1251  1 P 1.55
O 0.6511 0.5589 0.2885  2 P 1.63-1.64
P 0.4182 0.4769 0.8401  4 O 1.51-1.64
K 0.2024 0.8458 0.0656  8 O 2.76-3.08
O 0.7510 0.6267 0.8749  1 P 1.55
P 0.4402 0.7057 0.6492  4 O 1.53-1.63
Cu 0.9726 0.2281 0.2216  4 O 1.97-2.01
P 0.5598 0.2943 0.3508  4 O 1.53-1.63
P 0.5818 0.5231 0.1599  4 O 1.51-1.64
O 0.6321 0.3988 0.4677  1 H 1.20
O 0.2370 0.1163 0.3095  1 P 1.54
H 0.5000 0.5000 0.5000  2 O 1.20
K 0.0000 0.0000 0.5000  6 O 2.75-3.05, 2 H 2.89
K 0.7976 0.1542 0.9344  8 O 2.76-3.08
O 0.7630 0.8837 0.6905  1 P 1.54
O 0.7476 0.1628 0.3323  1 P 1.53
O 0.7075 0.7985 0.1245  1 P 1.51
Cu 0.0274 0.7719 0.7784  4 O 1.97-2.01
O 0.2789 0.6496 0.8719  1 P 1.55

Computed properties:
SG: No. 2
Crystal system: triclinic

DFT (PBE-GGA) results for crystalline TcRh2Br at its relaxed geometry.

Cell: 4.9641 4.9641 4.5335 Å, 86.91 86.91 34.26°
Closest atoms and distances in Å follow each position.
Fractional coordinates of all 4 atoms:
Br 0.2500 0.2500 0.2500  2 Rh 2.53, 4 Tc 2.70
Rh 0.4772 0.4772 0.5170  1 Br 2.53, 2 Rh 2.63, 2 Tc 2.76
Rh 0.0228 0.0228 0.9830  1 Br 2.53, 2 Rh 2.63, 2 Tc 2.76
Tc 0.7500 0.7500 0.7500  4 Br 2.70, 6 Rh 2.76-2.85, 2 Tc 2.92

Computed properties:
SG: No. 12
Raw formation energy in eV per atom: 0.573
Excess energy over the best structure of this formula in the dataset in meV per atom: 234
Crystal system: monoclinic

DFT (PBE-GGA) results for crystalline CaH3Au at its relaxed geometry.

Cell: 3.8500 3.8500 3.8500 Å, 90.00 90.00 90.00°
Closest atoms and distances in Å follow each position.
Fractional coordinates of all 5 atoms:
H 0.5000 0.0000 0.0000  2 Au 1.93
H 0.0000 0.0000 0.5000  2 Au 1.93
Ca 0.5000 0.5000 0.5000  12 H 2.72
Au 0.0000 0.0000 0.0000  6 H 1.93
H 0.0000 0.5000 0.0000  2 Au 1.93

Computed properties:
SG: No. 221
Crystal system: cubic

DFT (PBE-GGA) results for crystalline TcBrN2O at its relaxed geometry.

Cell: 4.0919 4.0919 3.7133 Å, 90.00 90.00 90.00°
Closest atoms and distances in Å follow each position.
Fractional coordinates of all 5 atoms:
N 0.0000 0.5000 0.0000  2 Br 2.05
N 0.5000 0.0000 0.0000  2 Br 2.05
O 0.0000 0.0000 0.5000  2 Br 1.86
Br 0.0000 0.0000 0.0000  2 O 1.86, 4 N 2.05
Tc 0.5000 0.5000 0.5000  8 N 2.76, 4 O 2.89

Computed properties:
SG: No. 123
Raw formation energy in eV per atom: 2.183
Crystal system: tetragonal

Short version: DFT total energy = -45.018 -76.678 -31.080 -17.839 -12.763 -9.424 -11.993 -21.592 -151.829 -24.451 -16.523 -22.735 eV for the cell shown, in the order given.